Here is Sm2DyTe4 after structural relaxation from Alexandria. Energies are from PBE-GGA.

a = 4.3999 Å, b = 7.7126 Å, c = 8.5536 Å
α = 117.22°, β = 104.90°, γ = 90.00°
Fractional coordinates of all 7 atoms:
Sm (0.2582, 0.2456, 0.5163)
Sm (0.7418, 0.7544, 0.4837)
Dy (0.0000, 0.0000, 0.0000)
Te (0.1182, 0.7916, 0.2364)
Te (0.8818, 0.2084, 0.7636)
Te (0.3735, 0.7147, 0.7469)
Te (0.6265, 0.2853, 0.2531)

Calculated values
- Relative energy among the computed polymorphs: 0 meV per atom

***

Here is Sm2Dy2Te5 after structural relaxation from Alexandria. Energies are from PBE-GGA.

a = 8.2228 Å, b = 8.9552 Å, c = 8.9552 Å
α = 125.40°, β = 90.00°, γ = 90.00°
Fractional coordinates of all 18 atoms:
Sm (0.0000, 0.8030, 0.1970)
Sm (0.5000, 0.3030, 0.6970)
Sm (0.0000, 0.1970, 0.8030)
Sm (0.5000, 0.6970, 0.3030)
Dy (0.3506, 0.1452, 0.1452)
Dy (0.6494, 0.8548, 0.8548)
Dy (0.8506, 0.3548, 0.3548)
Dy (0.1494, 0.6452, 0.6452)
Te (0.0000, 0.0000, 0.0000)
Te (0.5000, 0.5000, 0.5000)
Te (0.1560, 0.2024, 0.4787)
Te (0.8440, 0.5213, 0.7976)
Te (0.6560, 0.0213, 0.2976)
Te (0.3440, 0.7024, 0.9787)
Te (0.8440, 0.7976, 0.5213)
Te (0.1560, 0.4787, 0.2024)
Te (0.3440, 0.9787, 0.7024)
Te (0.6560, 0.2976, 0.0213)

Calculated values
- Relative energy among the computed polymorphs: 0 meV per atom

***

Here is Sm2DyTe4 after structural relaxation from Alexandria. Energies are from PBE-GGA.

a = 4.2696 Å, b = 7.5995 Å, c = 15.1641 Å
α = 90.00°, β = 90.00°, γ = 106.31°
Fractional coordinates of all 14 atoms:
Sm (0.1316, 0.2633, 0.4298)
Sm (0.8684, 0.7367, 0.9298)
Sm (0.1316, 0.2633, 0.0702)
Sm (0.8684, 0.7367, 0.5702)
Dy (0.6280, 0.2560, 0.7500)
Dy (0.3720, 0.7440, 0.2500)
Te (0.7812, 0.5623, 0.1246)
Te (0.7812, 0.5623, 0.3754)
Te (0.2188, 0.4377, 0.8754)
Te (0.2188, 0.4377, 0.6246)
Te (0.9736, 0.9472, 0.7500)
Te (0.0264, 0.0528, 0.2500)
Te (0.5000, 0.0000, 0.0000)
Te (0.5000, 0.0000, 0.5000)

Calculated values
- Relative energy among the computed polymorphs: 35 meV per atom

***

Here is SmDy4Te5 after structural relaxation from Alexandria. Energies are from PBE-GGA.

a = 4.3706 Å, b = 7.5822 Å, c = 9.7616 Å
α = 75.01°, β = 77.06°, γ = 73.25°
Fractional coordinates of all 10 atoms:
Sm (0.0000, 0.0000, 0.0000)
Dy (0.5987, 0.1986, 0.6041)
Dy (0.2034, 0.3930, 0.2002)
Dy (0.7966, 0.6070, 0.7998)
Dy (0.4013, 0.8014, 0.3959)
Te (0.2024, 0.9005, 0.6947)
Te (0.7976, 0.0995, 0.3053)
Te (0.3965, 0.3096, 0.8974)
Te (0.0000, 0.5000, 0.5000)
Te (0.6035, 0.6904, 0.1026)

***

Here is Sm5DyTe8 after structural relaxation from Alexandria. Energies are from PBE-GGA.

a = 8.2174 Å, b = 8.2174 Å, c = 8.2174 Å
α = 108.46°, β = 111.51°, γ = 108.46°
Fractional coordinates of all 14 atoms:
Sm (0.0304, 0.4069, 0.1273)
Sm (0.8727, 0.9031, 0.2797)
Sm (0.7203, 0.5931, 0.6234)
Sm (0.5000, 0.0000, 0.5000)
Sm (0.3766, 0.0969, 0.9696)
Dy (0.2500, 0.5000, 0.7500)
Te (0.1296, 0.7544, 0.0151)
Te (0.9849, 0.1144, 0.7393)
Te (0.7698, 0.2558, 0.3759)
Te (0.6241, 0.3939, 0.8800)
Te (0.4860, 0.6061, 0.2302)
Te (0.6249, 0.8856, 0.8704)
Te (0.2607, 0.2456, 0.3751)
Te (0.1200, 0.7442, 0.5140)

***

Here is SmDy3Te4 after structural relaxation from Alexandria. Energies are from PBE-GGA.

a = 4.3154 Å, b = 7.6153 Å, c = 7.6153 Å
α = 108.75°, β = 90.00°, γ = 90.00°
Fractional coordinates of all 8 atoms:
Sm (0.5000, 0.0000, 0.0000)
Dy (0.0000, 0.0000, 0.5000)
Dy (0.5000, 0.5000, 0.5000)
Dy (0.0000, 0.5000, 0.0000)
Te (0.0000, 0.2551, 0.2551)
Te (0.5000, 0.7474, 0.2526)
Te (0.0000, 0.7449, 0.7449)
Te (0.5000, 0.2526, 0.7474)

***

Summary of total magnetic moment in μB/atom
0.00; 0.00; 0.00; 0.00; 0.00; 0.00
(order as listed above)
Summary of calculated total energy in eV per atom
-5.198; -5.125; -5.163; -5.185; -5.181; -5.190
(order as listed above)